i | DFT (GGA-PBE) results for a geometry-optimized Cr2CoPt structure.

abc: 3.6020 3.6020 3.7810
angles: 90.00 90.00 90.00
With the nearest neighbours (Å) after each atom.
Space group P4/mmm (No. 123)
Symmetry-distinct sites (fractional):
Cr1 0.0000 0.5000 0.0000 (multiplicity 2)  4 Cr 2.55, 4 Co 2.61, 4 Pt 2.61
Co1 0.0000 0.0000 0.5000 (multiplicity 1)  4 Pt 2.55, 8 Cr 2.61
Pt1 0.5000 0.5000 0.5000 (multiplicity 1)  4 Co 2.55, 8 Cr 2.61

* ρ: 12.12 g/cm³

ii | DFT (GGA-PBE) results for a geometry-optimized Cr2CoPt structure.

abc: 3.5746 3.5746 16.8894
angles: 90.00 90.00 90.00
With the nearest neighbours (Å) after each atom.
Space group I-42d (No. 122)
Symmetry-distinct sites (fractional):
Cr1 0.1978 0.2500 0.1250 (multiplicity 8)  2 Cr 2.28, 2 Co 2.40, 2 Pt 2.53
Co1 0.0000 0.0000 0.0000 (multiplicity 4)  4 Cr 2.40, 4 Pt 2.53
Pt1 0.0000 0.0000 0.5000 (multiplicity 4)  4 Co 2.53, 4 Cr 2.53

* ρ: 11.02 g/cm³

Pick i: it beats the second-best structure by 513 meV per atom.